Crystalline BaTl2VF8 at its relaxed geometry. Source: Alexandria, functional PBE with a Hubbard U.

Cell lengths 4.7451, 6.4142, 7.7319 Å; angles 89.98, 90.00, 93.47 degrees
Last column: nearest neighbours and their distance in Å.
Atoms (fractional coordinates):
1 Ba 0.0000 0.0000 0.5000  6 F 2.65-2.76
2 Tl 0.4999 0.4999 0.7629  4 F 2.62-2.87
3 Tl 0.5001 0.5001 0.2371  4 F 2.62-2.87
4 V 0.0000 0.0000 0.0000  6 F 1.82-1.93
5 F 0.1116 0.8194 0.1850  1 V 1.93
6 F 0.6658 0.8458 0.9999  1 V 1.82
7 F 0.8881 0.1805 0.1850  1 V 1.93
8 F 0.8884 0.1806 0.8150  1 V 1.93
9 F 0.3342 0.1542 0.0001  1 V 1.82
10 F 0.1119 0.8195 0.8150  1 V 1.93
11 F 0.5270 0.7577 0.5000  2 Tl 2.62, 1 Ba 2.65
12 F 0.4730 0.2423 0.5000  2 Tl 2.62, 1 Ba 2.65

Properties
As for the electronic total energy: -0.1887 Ha/atom.